Computed, not measured: CsCuGeS3 after structural relaxation at the PBE level of DFT.

The structure belongs to space group Cmcm (No. 63); the cell edges are 3.648, 15.541 and 10.141 Å and the angles 90.00°, 90.00° and 90.00°. The asymmetric unit holds Cs at (0.000, 0.237, 0.250), Cu at (0.000, 0.048, 0.750), Ge at (0.000, 0.500, 0.000), S at (0.000, 0.107, 0.545) and S at (0.000, 0.458, 0.750).

As for the total energy: -0.29690 Ry per atom.